Entry 1:
{"formula": "Tb6ErSe8", "functional": "PBE-GGA", "state": "relaxed", "energy_ev_per_cell": -87.92, "lattice_angstrom": [[0.000, 5.754, 5.754], [5.754, 0.000, 5.754], [5.754, 5.754, 0.000]], "species": ["Tb", "Tb", "Tb", "Tb", "Tb", "Tb", "Er", "Se", "Se", "Se", "Se", "Se", "Se", "Se", "Se"], "frac_coords": [[0.000, 0.000, 0.500], [0.000, 0.500, 0.000], [0.000, 0.500, 0.500], [0.500, 0.000, 0.000], [0.500, 0.000, 0.500], [0.500, 0.500, 0.000], [0.000, 0.000, 0.000], [0.250, 0.250, 0.250], [0.251, 0.251, 0.749], [0.251, 0.749, 0.251], [0.251, 0.749, 0.749], [0.749, 0.251, 0.251], [0.749, 0.251, 0.749], [0.749, 0.749, 0.251], [0.750, 0.750, 0.750]]}

Entry 2:
{"formula": "Sc3Cu2Au", "functional": "PBE-GGA", "state": "relaxed", "formation_energy_ev_per_atom": -0.328, "energy_ev_per_cell": -31.66, "lattice_angstrom": [[3.345, 0.000, 0.000], [0.000, 3.345, 0.000], [0.000, 0.000, 10.039]], "species": ["Sc", "Sc", "Sc", "Cu", "Cu", "Au"], "frac_coords": [[0.000, 0.000, 0.000], [0.000, 0.000, 0.320], [0.500, 0.500, 0.769], [0.000, 0.000, 0.630], [0.500, 0.500, 0.147], [0.500, 0.500, 0.477]]}

Entry 3:
{"formula": "MgFeHgB", "functional": "PBE-GGA", "state": "relaxed", "polymorph_energy_mev_per_atom": 0, "energy_ev_per_cell": -13.67, "lattice_angstrom": [[0.000, 3.070, 3.070], [3.070, 0.000, 3.070], [3.070, 3.070, 0.000]], "species": ["Mg", "Fe", "Hg", "B"], "frac_coords": [[0.000, 0.000, 0.000], [0.500, 0.500, 0.500], [0.750, 0.750, 0.750], [0.250, 0.250, 0.250]]}

Entry 4:
{"formula": "AgTeAuO", "functional": "PBE-GGA", "state": "relaxed", "polymorph_energy_mev_per_atom": 104, "energy_ev_per_cell": -26.61, "lattice_angstrom": [[4.260, 0.000, 0.000], [0.000, 4.260, 0.000], [0.000, 0.000, 9.380]], "species": ["Ag", "Ag", "Te", "Te", "Au", "Au", "O", "O"], "frac_coords": [[0.250, 0.750, 0.000], [0.750, 0.250, 0.000], [0.250, 0.250, 0.197], [0.750, 0.750, 0.803], [0.250, 0.250, 0.556], [0.750, 0.750, 0.444], [0.250, 0.750, 0.500], [0.750, 0.250, 0.500]]}

Entry 5:
{"formula": "Fe2Re3", "functional": "PBE-GGA", "state": "relaxed", "formation_energy_ev_per_atom": 0.516, "polymorph_energy_mev_per_atom": 535, "energy_ev_per_cell": -102.61, "lattice_angstrom": [[3.099, 1.789, 4.080], [-3.099, 1.789, 4.080], [0.000, -3.579, 4.080]], "species": ["Fe", "Fe", "Fe", "Fe", "Re", "Re", "Re", "Re", "Re", "Re"], "frac_coords": [[0.089, 0.089, 0.089], [0.411, 0.411, 0.411], [0.589, 0.589, 0.589], [0.911, 0.911, 0.911], [0.009, 0.750, 0.491], [0.250, 0.509, 0.991], [0.491, 0.009, 0.750], [0.509, 0.991, 0.250], [0.750, 0.491, 0.009], [0.991, 0.250, 0.509]]}

Entry 6:
{"formula": "LuScPbC", "functional": "PBE-GGA", "state": "relaxed", "polymorph_energy_mev_per_atom": 0, "energy_ev_per_cell": -52.15, "lattice_angstrom": [[3.478, 0.000, 0.000], [-1.739, 3.012, 0.000], [0.000, 0.000, 15.411]], "species": ["Lu", "Lu", "Sc", "Sc", "Pb", "Pb", "C", "C"], "frac_coords": [[0.333, 0.667, 0.000], [0.667, 0.333, 0.500], [0.333, 0.667, 0.339], [0.667, 0.333, 0.839], [0.333, 0.667, 0.673], [0.667, 0.333, 0.173], [0.000, 0.000, 0.416], [0.000, 0.000, 0.916]]}

Entry 7:
{"formula": "NbAsPdO", "functional": "PBE-GGA", "state": "relaxed", "polymorph_energy_mev_per_atom": 459, "energy_ev_per_cell": -53.10, "lattice_angstrom": [[4.940, 0.000, 0.000], [0.000, 4.940, 0.000], [0.000, 0.000, 4.805]], "species": ["Nb", "Nb", "As", "As", "Pd", "Pd", "O", "O"], "frac_coords": [[0.250, 0.750, 0.000], [0.750, 0.250, 0.000], [0.250, 0.250, 0.171], [0.750, 0.750, 0.829], [0.250, 0.250, 0.668], [0.750, 0.750, 0.332], [0.250, 0.750, 0.500], [0.750, 0.250, 0.500]]}

Entry 8:
{"formula": "MgGaCuOs", "functional": "PBE-GGA", "state": "relaxed", "polymorph_energy_mev_per_atom": 0, "energy_ev_per_cell": -19.32, "lattice_angstrom": [[0.000, 3.060, 3.060], [3.060, 0.000, 3.060], [3.060, 3.060, 0.000]], "species": ["Mg", "Ga", "Cu", "Os"], "frac_coords": [[0.000, 0.000, 0.000], [0.500, 0.500, 0.500], [0.250, 0.250, 0.250], [0.750, 0.750, 0.750]]}

Entry 9:
{"formula": "Cu2BIr", "functional": "PBE-GGA", "state": "relaxed", "energy_ev_per_cell": -21.56, "lattice_angstrom": [[0.000, 2.821, 2.821], [2.821, 0.000, 2.821], [2.821, 2.821, 0.000]], "species": ["Cu", "Cu", "B", "Ir"], "frac_coords": [[0.000, 0.000, 0.000], [0.250, 0.250, 0.250], [0.500, 0.500, 0.500], [0.750, 0.750, 0.750]]}

Entry 10:
{"formula": "YZrSi2", "functional": "PBE-GGA", "state": "relaxed", "polymorph_energy_mev_per_atom": 0, "energy_ev_per_cell": -29.21, "lattice_angstrom": [[3.815, 0.000, 0.000], [0.000, 1.998, 5.139], [0.000, -1.998, 5.139]], "species": ["Y", "Zr", "Si", "Si"], "frac_coords": [[0.000, 0.000, 0.000], [0.500, 0.283, 0.283], [0.000, 0.724, 0.724], [0.500, 0.568, 0.568]]}

Entry 11:
{"formula": "NaGaPdPb", "functional": "PBE-GGA", "state": "relaxed", "polymorph_energy_mev_per_atom": 0, "energy_ev_per_cell": -13.85, "lattice_angstrom": [[0.000, 3.429, 3.429], [3.429, 0.000, 3.429], [3.429, 3.429, 0.000]], "species": ["Na", "Ga", "Pd", "Pb"], "frac_coords": [[0.000, 0.000, 0.000], [0.750, 0.750, 0.750], [0.500, 0.500, 0.500], [0.250, 0.250, 0.250]]}

Entry 12:
{"formula": "TbGdInNi2", "functional": "PBE-GGA", "state": "relaxed", "energy_ev_per_cell": -25.80, "lattice_angstrom": [[3.695, 0.000, 0.000], [0.000, 1.965, 7.178], [0.000, -1.965, 7.178]], "species": ["Tb", "Gd", "In", "Ni", "Ni"], "frac_coords": [[0.000, 0.000, 0.000], [0.000, 0.724, 0.724], [0.500, 0.363, 0.363], [0.500, 0.162, 0.162], [0.500, 0.561, 0.561]]}

Entry 13:
{"formula": "LiTa2Pt", "functional": "PBE-GGA", "state": "relaxed", "energy_ev_per_cell": -31.46, "lattice_angstrom": [[0.000, 3.187, 3.187], [3.187, 0.000, 3.187], [3.187, 3.187, 0.000]], "species": ["Li", "Ta", "Ta", "Pt"], "frac_coords": [[0.000, 0.000, 0.000], [0.500, 0.500, 0.500], [0.750, 0.750, 0.750], [0.250, 0.250, 0.250]]}

Entry 14:
{"formula": "Tl2CdSn2", "functional": "PBE-GGA", "state": "relaxed", "energy_ev_per_cell": -12.91, "lattice_angstrom": [[-2.215, 2.215, 7.813], [2.215, -2.215, 7.813], [2.215, 2.215, -7.813]], "species": ["Tl", "Tl", "Cd", "Sn", "Sn"], "frac_coords": [[0.098, 0.098, 0.000], [0.902, 0.902, 0.000], [0.500, 0.500, 0.000], [0.250, 0.750, 0.500], [0.750, 0.250, 0.500]]}

Entry 15:
{"formula": "ReTeSe", "functional": "PBE-GGA", "state": "relaxed", "energy_ev_per_cell": -78.96, "lattice_angstrom": [[6.862, 0.000, 0.000], [3.349, 6.118, 0.000], [1.556, 1.549, 7.216]], "species": ["Re", "Re", "Re", "Re", "Te", "Te", "Te", "Te", "Se", "Se", "Se", "Se"], "frac_coords": [[0.012, 0.291, 0.004], [0.425, 0.323, 0.011], [0.575, 0.677, 0.989], [0.988, 0.709, 0.996], [0.341, 0.673, 0.738], [0.384, 0.116, 0.780], [0.616, 0.884, 0.220], [0.659, 0.327, 0.262], [0.113, 0.382, 0.258], [0.172, 0.859, 0.159], [0.828, 0.141, 0.841], [0.887, 0.618, 0.742]]}

Entry 16:
{"formula": "YScSn2Au2", "functional": "PBE-GGA", "state": "relaxed", "energy_ev_per_cell": -128.71, "lattice_angstrom": [[9.367, 0.000, 0.000], [0.000, 4.681, 0.000], [-4.670, 0.000, 13.245]], "species": ["Y", "Y", "Y", "Y", "Sc", "Sc", "Sc", "Sc", "Sn", "Sn", "Sn", "Sn", "Sn", "Sn", "Sn", "Sn", "Au", "Au", "Au", "Au", "Au", "Au", "Au", "Au"], "frac_coords": [[0.000, 0.000, 0.000], [0.124, 0.500, 0.746], [0.250, 0.000, 0.497], [0.502, 0.000, 0.000], [0.376, 0.500, 0.250], [0.626, 0.500, 0.747], [0.749, 0.000, 0.497], [0.876, 0.500, 0.250], [0.126, 0.000, 0.251], [0.253, 0.500, 0.003], [0.379, 0.000, 0.748], [0.502, 0.500, 0.495], [0.627, 0.000, 0.250], [0.751, 0.500, 0.999], [0.869, 0.000, 0.743], [0.995, 0.500, 0.496], [0.066, 0.500, 0.132], [0.187, 0.000, 0.874], [0.322, 0.500, 0.625], [0.442, 0.000, 0.370], [0.568, 0.500, 0.131], [0.686, 0.000, 0.867], [0.804, 0.500, 0.619], [0.931, 0.000, 0.371]]}

Entry 17:
{"formula": "TaBe2Au2", "functional": "PBE-GGA", "state": "relaxed", "polymorph_energy_mev_per_atom": 0, "energy_ev_per_cell": -51.89, "lattice_angstrom": [[6.959, 0.000, 0.000], [0.000, 6.959, 0.000], [0.000, 0.000, 2.849]], "species": ["Ta", "Ta", "Be", "Be", "Be", "Be", "Au", "Au", "Au", "Au"], "frac_coords": [[0.000, 0.000, 0.000], [0.500, 0.500, 0.000], [0.126, 0.374, 0.000], [0.374, 0.874, 0.000], [0.626, 0.126, 0.000], [0.874, 0.626, 0.000], [0.170, 0.670, 0.500], [0.330, 0.170, 0.500], [0.670, 0.830, 0.500], [0.830, 0.330, 0.500]]}

Entry 18:
{"formula": "Li2LaMgSn2Pd2", "functional": "PBE-GGA", "state": "relaxed", "energy_ev_per_cell": -33.71, "lattice_angstrom": [[4.767, 0.000, 0.000], [0.000, 4.767, 0.000], [0.000, 0.000, 6.883]], "species": ["Li", "Li", "La", "Mg", "Sn", "Sn", "Pd", "Pd"], "frac_coords": [[0.000, 0.500, 0.213], [0.500, 0.000, 0.787], [0.000, 0.000, 0.500], [0.500, 0.500, 0.000], [0.000, 0.000, 0.000], [0.500, 0.500, 0.500], [0.000, 0.500, 0.776], [0.500, 0.000, 0.224]]}

Entry 19:
{"formula": "RbZrHg3S4", "functional": "PBE-GGA", "state": "relaxed", "polymorph_energy_mev_per_atom": 0, "energy_ev_per_cell": -65.98, "lattice_angstrom": [[7.146, 0.000, 0.000], [0.000, 7.721, 0.000], [-2.925, 0.000, 9.864]], "species": ["Rb", "Rb", "Zr", "Zr", "Hg", "Hg", "Hg", "Hg", "Hg", "Hg", "S", "S", "S", "S", "S", "S", "S", "S"], "frac_coords": [[0.239, 0.250, 0.386], [0.761, 0.750, 0.614], [0.029, 0.250, 0.752], [0.971, 0.750, 0.248], [0.294, 0.542, 0.962], [0.294, 0.958, 0.962], [0.462, 0.750, 0.196], [0.538, 0.250, 0.804], [0.706, 0.042, 0.038], [0.706, 0.458, 0.038], [0.091, 0.250, 0.001], [0.198, 0.004, 0.695], [0.198, 0.496, 0.695], [0.310, 0.750, 0.387], [0.690, 0.250, 0.613], [0.802, 0.504, 0.305], [0.802, 0.996, 0.305], [0.909, 0.750, 0.999]]}

Entry 20:
{"formula": "PrGdCd2Cu4", "functional": "PBE-GGA", "state": "relaxed", "formation_energy_ev_per_atom": -0.182, "energy_ev_per_cell": -27.55, "lattice_angstrom": [[4.764, 0.000, 0.000], [0.000, 4.764, 0.000], [0.000, 0.000, 6.739]], "species": ["Pr", "Gd", "Cd", "Cd", "Cu", "Cu", "Cu", "Cu"], "frac_coords": [[0.000, 0.000, 0.000], [0.500, 0.500, 0.500], [0.000, 0.000, 0.500], [0.500, 0.500, 0.000], [0.000, 0.500, 0.260], [0.000, 0.500, 0.740], [0.500, 0.000, 0.260], [0.500, 0.000, 0.740]]}

Entry 21:
{"formula": "CdHgSO", "functional": "PBE-GGA", "state": "relaxed", "polymorph_energy_mev_per_atom": 85, "energy_ev_per_cell": -47.90, "lattice_angstrom": [[5.865, 0.000, 0.000], [0.000, 3.766, 0.000], [0.000, 0.000, 14.174]], "species": ["Cd", "Cd", "Cd", "Cd", "Hg", "Hg", "Hg", "Hg", "S", "S", "S", "S", "O", "O", "O", "O"], "frac_coords": [[0.213, 0.250, 0.085], [0.287, 0.750, 0.585], [0.713, 0.250, 0.415], [0.787, 0.750, 0.915], [0.195, 0.750, 0.316], [0.305, 0.250, 0.816], [0.695, 0.750, 0.184], [0.805, 0.250, 0.684], [0.239, 0.750, 0.937], [0.261, 0.250, 0.437], [0.739, 0.750, 0.563], [0.761, 0.250, 0.063], [0.219, 0.250, 0.667], [0.281, 0.750, 0.167], [0.719, 0.250, 0.833], [0.781, 0.750, 0.333]]}

Entry 22:
{"formula": "TmZrFe2Ge2C", "functional": "PBE-GGA", "state": "relaxed", "energy_ev_per_cell": -52.07, "lattice_angstrom": [[5.219, -1.918, 0.000], [5.219, 1.918, 0.000], [-4.021, 0.000, 5.268]], "species": ["Tm", "Zr", "Fe", "Fe", "Ge", "Ge", "C"], "frac_coords": [[0.000, 0.000, 0.000], [0.116, 0.116, 0.573], [0.360, 0.360, 0.200], [0.756, 0.756, 0.375], [0.400, 0.400, 0.591], [0.716, 0.716, 0.979], [0.561, 0.561, 0.297]]}

Entry 23:
{"formula": "KBa3Au", "functional": "PBE-GGA", "state": "relaxed", "energy_ev_per_cell": -11.61, "lattice_angstrom": [[6.601, 0.000, 0.000], [0.000, 6.601, 0.000], [0.000, 0.000, 6.601]], "species": ["K", "Ba", "Ba", "Ba", "Au"], "frac_coords": [[0.000, 0.000, 0.000], [0.000, 0.500, 0.500], [0.500, 0.000, 0.500], [0.500, 0.500, 0.000], [0.500, 0.500, 0.500]]}

Entry 24:
{"formula": "Lu2FeRe", "functional": "PBE-GGA", "state": "relaxed", "formation_energy_ev_per_atom": 0.387, "energy_ev_per_cell": -28.23, "lattice_angstrom": [[0.000, 3.326, 3.326], [3.326, 0.000, 3.326], [3.326, 3.326, 0.000]], "species": ["Lu", "Lu", "Fe", "Re"], "frac_coords": [[0.000, 0.000, 0.000], [0.250, 0.250, 0.250], [0.750, 0.750, 0.750], [0.500, 0.500, 0.500]]}